BaPdNF2: relaxed, PBE-GGA.

Unit cell a=4.938 b=4.938 c=5.766 alpha=90.00 beta=90.00 gamma=90.00
Each line ends with the local moment (μB).
Fractional positions:
N 0.000 0.000 0.500  1.60
Ba 0.000 0.000 0.000  0.04
Pd 0.500 0.500 0.500  0.54
F 0.000 0.500 0.000  0.01
F 0.500 0.000 0.000  0.01

Summary:
Its raw formation energy is -479 meV per atom. Its crystal system is tetragonal. The density of states at the Fermi level is 1.39 states/eV/atom. The calculation puts the offset from the most stable computed form at 427 kJ/mol of formula units.

***

RbBaN2F: relaxed, PBE-GGA.

Unit cell a=5.398 b=5.398 c=5.070 alpha=90.00 beta=90.00 gamma=90.00
Each line ends with the local moment (μB).
Fractional positions:
N 0.000 0.500 0.000  1.25
N 0.500 0.000 0.000  1.25
Ba 0.000 0.000 0.000  0.05
Rb 0.500 0.500 0.500  0.01
F 0.000 0.000 0.500  0.02

Summary:
Its raw formation energy is -33 meV per atom. Its crystal system is tetragonal. The density of states at the Fermi level is 0.29 states/eV/atom. The calculation puts the offset from the most stable computed form at 0 kJ/mol of formula units.

***

RbBaN2F: relaxed, PBE-GGA.

Unit cell a=4.553 b=4.553 c=5.049 alpha=90.00 beta=90.00 gamma=90.00
Each line ends with the local moment (μB).
Fractional positions:
N 0.000 0.500 0.000  0.66
N 0.500 0.000 0.000  0.66
Ba 0.500 0.500 0.500  -0.01
Rb 0.000 0.000 0.000  0.07
F 0.000 0.000 0.500  0.00

Summary:
Its raw formation energy is 465 meV per atom. Its crystal system is tetragonal. The density of states at the Fermi level is 0.55 states/eV/atom. The calculation puts the offset from the most stable computed form at 240 kJ/mol of formula units.

***

RbBaNF2: relaxed, PBE-GGA.

Unit cell a=5.105 b=5.105 c=5.429 alpha=90.00 beta=90.00 gamma=90.00
Each line ends with the local moment (μB).
Fractional positions:
N 0.000 0.000 0.500  1.23
Ba 0.000 0.000 0.000  0.03
Rb 0.500 0.500 0.500  0.01
F 0.000 0.500 0.000  0.01
F 0.500 0.000 0.000  0.01

Summary:
Its raw formation energy is -1606 meV per atom. Its crystal system is tetragonal. The density of states at the Fermi level is 0.71 states/eV/atom. The calculation puts the offset from the most stable computed form at 0 kJ/mol of formula units.

***

RbBa2NF: relaxed, PBE-GGA.

Unit cell a=5.426 b=6.128 c=5.426 alpha=90.00 beta=90.00 gamma=90.00
Fractional positions:
N 0.000 0.000 0.000
Ba 0.000 0.000 0.500
Ba 0.500 0.000 0.000
Rb 0.000 0.500 0.000
F 0.500 0.500 0.500

Summary:
Its raw formation energy is -708 meV per atom. Its crystal system is tetragonal. The density of states at the Fermi level is 0.45 states/eV/atom.

***

RbBaNF2: relaxed, PBE-GGA.

Unit cell a=4.922 b=4.922 c=4.643 alpha=90.00 beta=90.00 gamma=90.00
Each line ends with the local moment (μB).
Fractional positions:
N 0.000 0.000 0.500  0.64
Ba 0.500 0.500 0.500  -0.01
Rb 0.000 0.000 0.000  0.04
F 0.000 0.500 0.000  0.00
F 0.500 0.000 0.000  0.00

Summary:
Its raw formation energy is -1099 meV per atom. Its crystal system is tetragonal. The density of states at the Fermi level is 0.80 states/eV/atom. The calculation puts the offset from the most stable computed form at 244 kJ/mol of formula units.

***

Rb2BaNF6: relaxed, PBE-GGA.

Unit cell a=6.112 b=6.112 c=7.110 alpha=64.54 beta=64.54 gamma=90.00
Each line ends with the local moment (μB).
Fractional positions:
N 0.500 0.500 0.000  0.66
Ba 0.000 0.000 0.000  0.00
Rb 0.750 0.250 0.500  0.00
Rb 0.250 0.750 0.500  0.00
F 0.223 0.223 0.553  0.01
F 0.777 0.777 0.447  0.01
F 0.293 0.293 0.000  0.02
F 0.707 0.707 0.000  0.02
F 0.707 0.293 0.000  0.02
F 0.293 0.707 0.000  0.02

Summary:
Its raw formation energy is -1961 meV per atom. Its crystal system is tetragonal. The density of states at the Fermi level is 0.00 states/eV/atom.

***

BaReN2F: relaxed, PBE-GGA.

Unit cell a=3.975 b=3.975 c=4.587 alpha=90.00 beta=90.00 gamma=90.00
Fractional positions:
Re 0.000 0.000 0.000
N 0.000 0.500 0.000
N 0.500 0.000 0.000
Ba 0.500 0.500 0.500
F 0.000 0.000 0.500

Summary:
Its raw formation energy is -912 meV per atom. Its crystal system is tetragonal. The density of states at the Fermi level is 0.66 states/eV/atom. The calculation puts the offset from the most stable computed form at 0 kJ/mol of formula units.

***

BaReN2F: relaxed, PBE-GGA.

Unit cell a=4.598 b=6.417 c=4.598 alpha=90.00 beta=90.00 gamma=90.00
Each line ends with the local moment (μB).
Fractional positions:
Re 0.000 0.500 0.000  -0.62
N 0.000 0.000 0.500  -1.03
N 0.500 0.000 0.000  -0.83
Ba 0.000 0.000 0.000  -0.05
F 0.500 0.500 0.500  0.06

Summary:
Its raw formation energy is 2958 meV per atom. Its crystal system is tetragonal. The density of states at the Fermi level is 3.74 states/eV/atom. The calculation puts the offset from the most stable computed form at 1867 kJ/mol of formula units.

***

BaReN2F: relaxed, PBE-GGA.

Unit cell a=4.726 b=4.726 c=4.747 alpha=90.00 beta=90.00 gamma=90.00
Each line ends with the local moment (μB).
Fractional positions:
Re 0.500 0.500 0.500  4.13
N 0.000 0.500 0.000  -0.38
N 0.500 0.000 0.000  -0.38
Ba 0.000 0.000 0.000  0.01
F 0.000 0.000 0.500  0.06

Summary:
Its raw formation energy is 1814 meV per atom. Its crystal system is tetragonal. The density of states at the Fermi level is 0.49 states/eV/atom. The calculation puts the offset from the most stable computed form at 1315 kJ/mol of formula units.

***

BaReNF2: relaxed, PBE-GGA.

Unit cell a=4.880 b=4.880 c=5.488 alpha=90.00 beta=90.00 gamma=90.00
Each line ends with the local moment (μB).
Fractional positions:
Re 0.500 0.500 0.500  4.41
N 0.000 0.000 0.500  -1.09
Ba 0.000 0.000 0.000  -0.04
F 0.000 0.500 0.000  0.04
F 0.500 0.000 0.000  0.04

Summary:
Its raw formation energy is 249 meV per atom. Its crystal system is tetragonal. The density of states at the Fermi level is 0.37 states/eV/atom. The calculation puts the offset from the most stable computed form at 738 kJ/mol of formula units.

***

BaReNF2: relaxed, PBE-GGA.

Unit cell a=4.505 b=4.505 c=3.904 alpha=90.00 beta=90.00 gamma=90.00
Each line ends with the local moment (μB).
Fractional positions:
Re 0.000 0.000 0.000  0.55
N 0.000 0.000 0.500  0.03
Ba 0.500 0.500 0.500  0.01
F 0.000 0.500 0.000  0.00
F 0.500 0.000 0.000  0.00

Summary:
Its raw formation energy is -1280 meV per atom. Its crystal system is tetragonal. The density of states at the Fermi level is 0.51 states/eV/atom. The calculation puts the offset from the most stable computed form at 0 kJ/mol of formula units.

***

Question: Among the records above, which one has the highest raw formation energy?
Answer: number 9